(1)
CsReSnBi2: relaxed, PBE-GGA.

```
data_CsReSnBi2
_chemical_formula_sum 'Cs1 Re1 Sn1 Bi2'
_space_group_name_H-M_alt 'P 1'
_space_group_IT_number 1
_cell_length_a 6.2102
_cell_length_b 6.1642
_cell_length_c 6.2102
_cell_angle_alpha 90.00
_cell_angle_beta 90.00
_cell_angle_gamma 90.00
loop_
_space_group_symop_operation_xyz
'x,y,z'
loop_
_atom_site_label
_atom_site_type_symbol
_atom_site_fract_x
_atom_site_fract_y
_atom_site_fract_z
_atom_site_occupancy
Re1 Re 0.5000 0.5000 0.5000 1
Sn1 Sn 0.0000 0.5000 0.0000 1
Bi1 Bi 0.5000 0.0000 0.0000 1
Bi2 Bi 0.0000 0.0000 0.5000 1
Cs1 Cs 0.0000 0.0000 0.0000 1
```

## Properties
- SG = P4/mmm (123)
- DFT formation energy (meV per atom) = 2522


(2)
SrLaTlTe2: relaxed, PBE-GGA.

```
data_SrLaTlTe2
_chemical_formula_sum 'Sr1 La1 Tl1 Te2'
_space_group_name_H-M_alt 'P 1'
_space_group_IT_number 1
_cell_length_a 6.0142
_cell_length_b 5.7509
_cell_length_c 6.0142
_cell_angle_alpha 90.00
_cell_angle_beta 90.00
_cell_angle_gamma 90.00
loop_
_space_group_symop_operation_xyz
'x,y,z'
loop_
_atom_site_label
_atom_site_type_symbol
_atom_site_fract_x
_atom_site_fract_y
_atom_site_fract_z
_atom_site_occupancy
Te1 Te 0.5000 0.0000 0.0000 1
Te2 Te 0.0000 0.0000 0.5000 1
Tl1 Tl 0.0000 0.5000 0.0000 1
Sr1 Sr 0.0000 0.0000 0.0000 1
La1 La 0.5000 0.5000 0.5000 1
```

## Properties
- uncorrected formation energy (eV per atom) = -0.258
- SG = P4/mmm (123)


| no. | mass density (g/cm3) | magnetization (μB per atom) |
| --- | --- | --- |
| 1 | 5.98 | 0.831 |
| 2 | 5.48 | 0.000 |